Entry 1:
First-principles (PBE) data for Nd3PdPt after structural relaxation, as listed in Alexandria via LeMat-Bulk.

abc: 7.168 7.170 7.783
angles: 62.61 62.65 60.04
Positions (direct):
Nd: 0.754 0.383 0.746
Nd: 0.116 0.754 0.747
Nd: 0.383 0.117 0.746
Nd: 0.246 0.617 0.254
Nd: 0.884 0.246 0.253
Nd: 0.617 0.883 0.254
Pd: 0.322 0.322 0.034
Pd: 0.678 0.678 0.966
Pt: 0.820 0.820 0.539
Pt: 0.180 0.180 0.461

Values from the calculation:
- spin magnetization (μB per cell) = 0.00
- theoretical density (g/cm3) = 8.3
- E above lowest polymorph (meV/atom) = 77
- SG = P-1 (2)
- volume (Å³/atom) = 29.4
- calculated formation energy (eV per atom) = -0.70
- energy (eV for the cell shown) = -58.07

---

Entry 2:
First-principles (PBE) data for DyTmThSc after structural relaxation, as listed in Alexandria via LeMat-Bulk.

abc: 5.518 5.518 5.518
angles: 60.00 60.00 60.00
Positions (direct):
Sc: 0.000 0.000 0.000
Tm: 0.500 0.500 0.500
Th: 0.750 0.750 0.750
Dy: 0.250 0.250 0.250

Values from the calculation:
- spin magnetization (μB per cell) = 0.00
- theoretical density (g/cm3) = 8.5
- E above lowest polymorph (meV/atom) = 78
- SG = F-43m (216)
- volume (Å³/atom) = 29.7
- calculated formation energy (eV per atom) = 0.10
- energy (eV for the cell shown) = -22.43

---

Entry 3:
First-principles (PBE) data for HfH2Ru after structural relaxation, as listed in Alexandria via LeMat-Bulk.

abc: 4.204 4.204 5.509
angles: 67.57 67.57 90.00
Positions (direct):
Ru: 0.500 0.500 0.000
Ru: 0.250 0.750 0.500
Hf: 0.000 0.000 0.000
Hf: 0.750 0.250 0.500
H: 0.575 0.125 0.250
H: 0.175 0.625 0.250
H: 0.375 0.425 0.750
H: 0.875 0.825 0.750

Values from the calculation:
- spin magnetization (μB per cell) = 0.00
- theoretical density (g/cm3) = 11.4
- E above lowest polymorph (meV/atom) = 20
- SG = I-42d (122)
- volume (Å³/atom) = 10.2
- energy (eV for the cell shown) = -54.19

---

Q: theoretical density of number 1 (Nd3PdPt)?
A: 8.3 g/cm3

---

Please write out number 2 again, unchanged.
First-principles (PBE) data for DyTmThSc after structural relaxation, as listed in Alexandria via LeMat-Bulk.

abc: 5.518 5.518 5.518
angles: 60.00 60.00 60.00
Positions (direct):
Sc: 0.000 0.000 0.000
Tm: 0.500 0.500 0.500
Th: 0.750 0.750 0.750
Dy: 0.250 0.250 0.250

Values from the calculation:
- spin magnetization (μB per cell) = 0.00
- theoretical density (g/cm3) = 8.5
- E above lowest polymorph (meV/atom) = 78
- SG = F-43m (216)
- volume (Å³/atom) = 29.7
- calculated formation energy (eV per atom) = 0.10
- energy (eV for the cell shown) = -22.43

---

Q: What is the formula in the first record?
A: Nd3PdPt

---

What did the second record say?
First-principles (PBE) data for DyTmThSc after structural relaxation, as listed in Alexandria via LeMat-Bulk.

abc: 5.518 5.518 5.518
angles: 60.00 60.00 60.00
Positions (direct):
Sc: 0.000 0.000 0.000
Tm: 0.500 0.500 0.500
Th: 0.750 0.750 0.750
Dy: 0.250 0.250 0.250

Values from the calculation:
- spin magnetization (μB per cell) = 0.00
- theoretical density (g/cm3) = 8.5
- E above lowest polymorph (meV/atom) = 78
- SG = F-43m (216)
- volume (Å³/atom) = 29.7
- calculated formation energy (eV per atom) = 0.10
- energy (eV for the cell shown) = -22.43